DFT (PBE) results for a relaxed structure of BaCdTeF2.

Properties
**E**: -0.1574 hartree per atom
**Density**: 5.9 g/cm³
**DOS(E_F)**: 0.461 states/eV/f.u.
**Space-group type**: No. 63

Lattice parameters (Å, degrees): 7.205 7.205 7.963 90.00 90.00 145.55
Fractional positions:
Ba  0.229  0.771  0.750
Ba  0.771  0.229  0.250
Cd  0.500  0.500  0.000
Cd  0.500  0.500  0.500
Te  0.042  0.958  0.250
Te  0.958  0.042  0.750
F  0.323  0.677  0.058
F  0.323  0.677  0.442
F  0.677  0.323  0.558
F  0.677  0.323  0.942